Here is Ni2BAu after structural relaxation from the Open Quantum Materials Database. Energies are from PBE.

The space group is P-6m2 (No. 187) and the conventional cell measures 2.7345, 2.7345 and 7.7111 Å, with angles of 90.00, 90.00 and 120.00 degrees. Symmetry generates all atoms from Ni at (0.0000, 0.0000, 0.1620), B at (0.6667, 0.3333, 0.0000) and Au at (0.0000, 0.0000, 0.5000).

The value obtained for the total magnetic moment is 0.00 μB per formula unit. The calculation puts the theoretical density at 10.81 g cm⁻³.

=====

Here is Sr2LuRe after structural relaxation from the Open Quantum Materials Database. Energies are from PBE.

The space group is F-43m (No. 216) and the conventional cell measures 7.567, 7.567 and 7.567 Å, with angles of 90.00, 90.00 and 90.00 degrees. Symmetry generates all atoms from Sr at (0.000, 0.000, 0.000), Sr at (0.250, 0.250, 0.250), Lu at (0.250, 0.250, 0.750) and Re at (0.000, 0.000, 0.500).

The value obtained for the total magnetic moment is 0.01 μB per formula unit. The calculation puts the theoretical density at 8.22 g cm⁻³.

=====

Here is LiHoPdSe3 after structural relaxation from the Open Quantum Materials Database. Energies are from PBE.

The space group is Cmcm (No. 63) and the conventional cell measures 3.881, 13.877 and 10.235 Å, with angles of 90.00, 90.00 and 90.00 degrees. Symmetry generates all atoms from Li at (0.000, 0.198, 0.250), Ho at (0.000, 0.000, 0.000), Pd at (0.000, 0.488, 0.750), Se at (0.000, 0.104, 0.750) and Se at (0.000, 0.359, 0.577).

The value obtained for the total magnetic moment is 0.00 μB per formula unit. The calculation puts the theoretical density at 6.21 g cm⁻³.

=====

Here is TbDyNi2C2N2 after structural relaxation from the Open Quantum Materials Database. Energies are from PBE.

The space group is P4mm (No. 99) and the conventional cell measures 3.463, 3.463 and 7.327 Å, with angles of 90.00, 90.00 and 90.00 degrees. Symmetry generates all atoms from Tb at (0.000, 0.000, 0.000), Dy at (0.500, 0.500, 0.346), Ni at (0.000, 0.500, 0.673), C at (0.000, 0.000, 0.513), C at (0.500, 0.500, 0.834), N at (0.000, 0.000, 0.322) and N at (0.500, 0.500, 0.026).

The value obtained for the total magnetic moment is 0.00 μB per formula unit. The calculation puts the theoretical density at 9.28 g cm⁻³.

=====

Record-wise uncorrected energy values, in eV/atom: -5.206; -4.290; -4.757; -7.576